[1]
TcHg3Ru | GGA-PBE | relaxed

a b c (Å): 5.165 5.165 5.165
angles (deg): 90.00 90.00 90.00
Fractional positions:
Tc (0.000, 0.000, 0.000)
Hg (0.000, 0.500, 0.500)
Hg (0.500, 0.000, 0.500)
Hg (0.500, 0.500, 0.000)
Ru (0.500, 0.500, 0.500)

Properties
excess energy over the best structure of this formula in the dataset	0	meV per atom
DOS(E_F)	2.92	states/eV per cell

---

[2]
TcHgRu2 | GGA-PBE | relaxed

a b c (Å): 4.650 4.650 2.932
angles (deg): 90.00 90.00 90.00
Fractional positions:
Tc (0.000, 0.000, 0.000)
Hg (0.500, 0.500, 0.000)
Ru (0.000, 0.500, 0.500)
Ru (0.500, 0.000, 0.500)

Properties
DOS(E_F)	6.39	states/eV per cell
calculated total energy	-6.613	eV per atom

---

[3]
TcHgRu | GGA-PBE | relaxed

a b c (Å): 5.154 5.154 5.154
angles (deg): 147.63 137.39 54.51
Fractional positions:
Tc (0.000, 0.000, 0.000)
Hg (0.689, 0.689, 0.000)
Ru (0.376, 0.376, 0.000)

Properties
excess energy over the best structure of this formula in the dataset	138	meV per atom
DOS(E_F)	1.45	states/eV per cell

---

[4]
TcHg2Ru2 | GGA-PBE | relaxed

a b c (Å): 7.423 7.423 7.423
angles (deg): 150.98 150.98 41.51
Fractional positions:
Tc (0.000, 0.000, 0.000)
Hg (0.250, 0.750, 0.500)
Hg (0.750, 0.250, 0.500)
Ru (0.414, 0.414, 0.000)
Ru (0.586, 0.586, 0.000)

Properties
DOS(E_F)	5.69	states/eV per cell
calculated total energy	-4.736	eV per atom

---

[5]
TcHgRu | GGA-PBE | relaxed

a b c (Å): 2.845 2.845 7.032
angles (deg): 90.00 90.00 120.00
Fractional positions:
Tc (0.000, 0.000, 0.000)
Hg (0.667, 0.333, 0.361)
Ru (0.333, 0.667, 0.717)

Properties
excess energy over the best structure of this formula in the dataset	54	meV per atom
DOS(E_F)	3.02	states/eV per cell

---

[6]
TcHgRu2 | GGA-PBE | relaxed

a b c (Å): 4.854 4.854 4.881
angles (deg): 100.24 100.24 33.92
Fractional positions:
Tc (0.000, 0.000, 0.000)
Hg (0.763, 0.763, 0.301)
Ru (0.259, 0.259, 0.805)
Ru (0.523, 0.523, 0.564)

Properties
DOS(E_F)	6.20	states/eV per cell
calculated total energy	-6.836	eV per atom

---

[7]
TcHgRu2 | GGA-PBE | relaxed

a b c (Å): 4.848 4.848 4.848
angles (deg): 131.79 131.79 70.56
Fractional positions:
Tc (0.000, 0.000, 0.000)
Hg (0.500, 0.500, 0.000)
Ru (0.250, 0.750, 0.500)
Ru (0.750, 0.250, 0.500)

Properties
DOS(E_F)	5.70	states/eV per cell
calculated total energy	-6.782	eV per atom

---

[8]
TcHgRu2 | GGA-PBE | relaxed

a b c (Å): 9.376 9.376 9.376
angles (deg): 17.22 17.22 17.22
Fractional positions:
Tc (0.000, 0.000, 0.000)
Hg (0.500, 0.500, 0.500)
Ru (0.258, 0.258, 0.258)
Ru (0.742, 0.742, 0.742)

Properties
DOS(E_F)	2.51	states/eV per cell
calculated total energy	-7.027	eV per atom

---

[9]
TcHgRu | GGA-PBE | relaxed

a b c (Å): 4.316 4.316 4.316
angles (deg): 60.00 60.00 60.00
Fractional positions:
Tc (0.000, 0.000, 0.000)
Hg (0.500, 0.500, 0.500)
Ru (0.750, 0.750, 0.750)

Properties
excess energy over the best structure of this formula in the dataset	544	meV per atom
DOS(E_F)	4.15	states/eV per cell

---

[10]
TcHgRu2 | GGA-PBE | relaxed

a b c (Å): 2.791 3.956 5.747
angles (deg): 90.00 90.00 90.00
Fractional positions:
Tc (0.000, 0.000, 0.000)
Hg (0.500, 0.500, 0.298)
Ru (0.000, 0.000, 0.572)
Ru (0.500, 0.500, 0.805)

Properties
DOS(E_F)	4.97	states/eV per cell
calculated total energy	-6.883	eV per atom

---

[11]
ZrTc2HgRu | GGA-PBE | relaxed

a b c (Å): 4.710 4.710 5.287
angles (deg): 90.00 90.00 90.00
Fractional positions:
Zr (0.000, 0.000, 0.000)
Tc (0.000, 0.500, 0.000)
Tc (0.500, 0.000, 0.000)
Hg (0.000, 0.000, 0.500)
Ru (0.500, 0.500, 0.500)

Properties
DOS(E_F)	7.23	states/eV per cell
calculated total energy	-5.685	eV per atom

---

[12]
HgTe2Ru | GGA-PBE | relaxed

a b c (Å): 3.152 3.152 9.981
angles (deg): 90.00 90.00 90.00
Fractional positions:
Hg (0.000, 0.000, 0.000)
Te (0.000, 0.000, 0.350)
Te (0.500, 0.500, 0.697)
Ru (0.500, 0.500, 0.201)

Properties
DOS(E_F)	1.55	states/eV per cell
calculated total energy	-3.849	eV per atom

---

[13]
HgTe2Ru | GGA-PBE | relaxed

a b c (Å): 5.047 5.047 4.927
angles (deg): 110.64 110.64 105.68
Fractional positions:
Hg (0.000, 0.000, 0.000)
Te (0.000, 0.500, 0.500)
Te (0.500, 0.000, 0.500)
Ru (0.500, 0.500, 0.000)

Properties
DOS(E_F)	4.73	states/eV per cell
calculated total energy	-3.416	eV per atom

---

[14]
HgTe2Ru | GGA-PBE | relaxed

a b c (Å): 5.620 5.620 6.164
angles (deg): 109.88 109.88 33.64
Fractional positions:
Hg (0.000, 0.000, 0.000)
Te (0.169, 0.169, 0.639)
Te (0.354, 0.354, 0.353)
Ru (0.734, 0.734, 0.003)

Properties
DOS(E_F)	3.13	states/eV per cell
calculated total energy	-3.842	eV per atom

---

[15]
HgTe2Ru | GGA-PBE | relaxed

a b c (Å): 5.109 5.109 3.584
angles (deg): 90.00 90.00 107.03
Fractional positions:
Hg (0.000, 0.000, 0.000)
Te (0.000, 0.500, 0.500)
Te (0.500, 0.000, 0.500)
Ru (0.500, 0.500, 0.000)

Properties
DOS(E_F)	2.12	states/eV per cell
calculated total energy	-3.415	eV per atom

---

[16]
HgTe2Ru | GGA-PBE | relaxed

a b c (Å): 5.041 5.041 5.041
angles (deg): 60.00 60.00 60.00
Fractional positions:
Hg (0.000, 0.000, 0.000)
Te (0.500, 0.500, 0.500)
Te (0.750, 0.750, 0.750)
Ru (0.250, 0.250, 0.250)

Properties
DOS(E_F)	5.18	states/eV per cell
calculated total energy	-3.197	eV per atom

---

[17]
HgTe2Ru | GGA-PBE | relaxed

a b c (Å): 8.446 8.446 8.446
angles (deg): 26.50 26.50 26.50
Fractional positions:
Hg (0.000, 0.000, 0.000)
Te (0.227, 0.227, 0.227)
Te (0.773, 0.773, 0.773)
Ru (0.500, 0.500, 0.500)

Properties
DOS(E_F)	4.14	states/eV per cell
calculated total energy	-4.019	eV per atom

---

[18]
HgTe2Ru | GGA-PBE | relaxed

a b c (Å): 7.461 7.461 7.461
angles (deg): 127.65 127.65 77.19
Fractional positions:
Hg (0.000, 0.000, 0.000)
Hg (0.750, 0.250, 0.500)
Te (0.183, 0.625, 0.058)
Te (0.375, 0.433, 0.558)
Te (0.567, 0.125, 0.942)
Te (0.875, 0.817, 0.442)
Ru (0.250, 0.750, 0.500)
Ru (0.500, 0.500, 0.000)

Properties
DOS(E_F)	7.02	states/eV per cell
calculated total energy	-3.831	eV per atom

---

[19]
HgTe2Ru | GGA-PBE | relaxed

a b c (Å): 10.732 10.732 10.732
angles (deg): 162.92 162.14 24.81
Fractional positions:
Hg (0.000, 0.000, 0.000)
Te (0.170, 0.670, 0.500)
Te (0.339, 0.339, 0.000)
Ru (0.739, 0.239, 0.500)

Properties
DOS(E_F)	2.26	states/eV per cell
calculated total energy	-3.979	eV per atom

---

[20]
HgTe2Ru | GGA-PBE | relaxed

a b c (Å): 8.525 8.525 8.525
angles (deg): 27.83 27.83 27.83
Fractional positions:
Hg (0.000, 0.000, 0.000)
Te (0.116, 0.116, 0.116)
Te (0.884, 0.884, 0.884)
Ru (0.500, 0.500, 0.500)

Properties
DOS(E_F)	1.82	states/eV per cell
calculated total energy	-4.002	eV per atom

---

[21]
HgTe2Ru | GGA-PBE | relaxed

a b c (Å): 5.797 5.797 3.980
angles (deg): 90.00 90.00 124.83
Fractional positions:
Hg (0.000, 0.000, 0.000)
Te (0.333, 0.667, 0.500)
Te (0.667, 0.333, 0.500)
Ru (0.500, 0.500, 0.000)

Properties
DOS(E_F)	3.15	states/eV per cell
calculated total energy	-3.950	eV per atom

---

[22]
HgTe2Ru | GGA-PBE | relaxed

a b c (Å): 4.430 4.430 4.571
angles (deg): 90.00 90.00 90.00
Fractional positions:
Hg (0.000, 0.000, 0.000)
Te (0.000, 0.500, 0.500)
Te (0.500, 0.000, 0.500)
Ru (0.500, 0.500, 0.000)

Properties
DOS(E_F)	2.64	states/eV per cell
calculated total energy	-3.289	eV per atom

---

[23]
HgTe2Ru | GGA-PBE | relaxed

a b c (Å): 3.347 6.691 6.691
angles (deg): 44.44 90.00 90.00
Fractional positions:
Hg (0.000, 0.000, 0.000)
Te (0.000, 0.351, 0.351)
Te (0.500, 0.637, 0.637)
Ru (0.500, 0.197, 0.197)

Properties
DOS(E_F)	2.99	states/eV per cell
calculated total energy	-3.887	eV per atom

---

[24]
HgTe2Ru | GGA-PBE | relaxed

a b c (Å): 12.347 12.347 12.347
angles (deg): 14.67 14.67 14.67
Fractional positions:
Hg (0.000, 0.000, 0.000)
Te (0.430, 0.430, 0.430)
Te (0.570, 0.570, 0.570)
Ru (0.500, 0.500, 0.500)

Properties
DOS(E_F)	3.10	states/eV per cell
calculated total energy	-3.515	eV per atom

---

[25]
Hg3TeRu | GGA-PBE | relaxed

a b c (Å): 5.289 5.289 5.289
angles (deg): 90.00 90.00 90.00
Fractional positions:
Hg (0.000, 0.000, 0.500)
Hg (0.000, 0.500, 0.000)
Hg (0.500, 0.000, 0.000)
Te (0.500, 0.500, 0.500)
Ru (0.000, 0.000, 0.000)

Properties
excess energy over the best structure of this formula in the dataset	0	meV per atom
DOS(E_F)	5.76	states/eV per cell

---

[26]
HgTe2Ru | GGA-PBE | relaxed

a b c (Å): 6.885 6.885 6.885
angles (deg): 152.99 138.75 50.00
Fractional positions:
Hg (0.000, 0.000, 0.000)
Te (0.326, 0.826, 0.500)
Te (0.674, 0.174, 0.500)
Ru (0.500, 0.500, 0.000)

Properties
DOS(E_F)	2.16	states/eV per cell
calculated total energy	-3.847	eV per atom

---

[27]
HgTe2Ru | GGA-PBE | relaxed

a b c (Å): 5.100 5.100 3.424
angles (deg): 90.00 90.00 90.00
Fractional positions:
Hg (0.000, 0.000, 0.000)
Te (0.000, 0.500, 0.500)
Te (0.500, 0.000, 0.500)
Ru (0.500, 0.500, 0.000)

Properties
DOS(E_F)	5.99	states/eV per cell
calculated total energy	-3.333	eV per atom

---

[28]
HgTe2Ru | GGA-PBE | relaxed

a b c (Å): 5.555 5.555 5.555
angles (deg): 133.29 133.29 68.20
Fractional positions:
Hg (0.000, 0.000, 0.000)
Te (0.500, 0.500, 0.000)
Te (0.750, 0.250, 0.500)
Ru (0.250, 0.750, 0.500)

Properties
DOS(E_F)	3.08	states/eV per cell
calculated total energy	-3.300	eV per atom

---

[29]
HgTe2Ru | GGA-PBE | relaxed

a b c (Å): 3.230 3.230 9.882
angles (deg): 90.00 90.00 90.00
Fractional positions:
Hg (0.000, 0.000, 0.000)
Te (0.500, 0.500, 0.331)
Te (0.500, 0.500, 0.669)
Ru (0.000, 0.000, 0.500)

Properties
DOS(E_F)	2.16	states/eV per cell
calculated total energy	-3.897	eV per atom

---

[30]
Hg4TeRu | GGA-PBE | relaxed

a b c (Å): 5.776 5.776 5.776
angles (deg): 60.00 60.00 60.00
Fractional positions:
Hg (0.124, 0.124, 0.124)
Hg (0.124, 0.124, 0.627)
Hg (0.124, 0.627, 0.124)
Hg (0.627, 0.124, 0.124)
Te (0.500, 0.500, 0.500)
Ru (0.750, 0.750, 0.750)

Properties
DOS(E_F)	2.30	states/eV per cell
calculated total energy	-1.527	eV per atom